[1]
YNpFe4: optimized geometry, PBE.

a b c (Å): 4.9229 4.9229 8.5687
angles (deg): 90.00 90.00 120.00
Atoms (fractional coordinates):
Y1 0.3333 0.6667 0.4283
Y2 0.6667 0.3333 0.5717
Np1 0.3333 0.6667 0.0432
Np2 0.6667 0.3333 0.9568
Fe1 0.0000 0.0000 0.0000
Fe2 0.0000 0.0000 0.5000
Fe3 0.1660 0.3320 0.7496
Fe4 0.1660 0.8340 0.7496
Fe5 0.3320 0.1660 0.2504
Fe6 0.6680 0.8340 0.7496
Fe7 0.8340 0.1660 0.2504
Fe8 0.8340 0.6680 0.2504

Values from the calculation:
For the energy, the calculation gives -105.35 eV/cell. As for the magnetization: 6.95 μB/f.u. The formation energy from the elements is 0.10 eV per atom. The calculation puts the excess energy over the best structure of this formula in the dataset at 0 meV/atom.

***

[2]
Np3SbSe6: optimized geometry, PBE.

a b c (Å): 8.8006 8.8006 7.1856
angles (deg): 90.00 90.00 101.11
Atoms (fractional coordinates):
Np1 0.0822 0.9178 0.5000
Np2 0.2369 0.4198 0.5951
Np3 0.4198 0.2369 0.0951
Np4 0.5802 0.7631 0.5951
Np5 0.7631 0.5802 0.0951
Np6 0.9178 0.0822 0.0000
Sb1 0.1849 0.8151 0.0896
Sb2 0.8151 0.1849 0.5896
Se1 0.0460 0.5961 0.3232
Se2 0.1268 0.2126 0.2932
Se3 0.2126 0.1268 0.7932
Se4 0.2679 0.7321 0.7014
Se5 0.4039 0.9540 0.3232
Se6 0.4823 0.5177 0.3305
Se7 0.5177 0.4823 0.8305
Se8 0.5961 0.0460 0.8232
Se9 0.7321 0.2679 0.2014
Se10 0.7874 0.8732 0.2932
Se11 0.8732 0.7874 0.7932
Se12 0.9540 0.4039 0.8232

Values from the calculation:
For the energy, the calculation gives -144.53 eV/cell. As for the magnetization: 3.72 μB/f.u. The raw formation energy is -841 meV per atom.

***

[3]
RbCuSiF6: optimized geometry, PBE.

a b c (Å): 5.4799 5.5774 5.6648
angles (deg): 60.52 88.91 87.81
Atoms (fractional coordinates):
Rb1 0.0000 0.0000 0.0000
Cu1 0.5001 0.3322 0.3352
Si1 0.5008 0.6799 0.6387
F1 0.2525 0.8800 0.6190
F2 0.3664 0.6369 0.3776
F3 0.3674 0.3906 0.8766
F4 0.6338 0.9851 0.3779
F5 0.6356 0.7296 0.8770
F6 0.7490 0.5011 0.6158

Values from the calculation:
For the energy, the calculation gives -45.49 eV/cell. As for the magnetization: 0.06 μB/f.u. The raw formation energy is -2642 meV per atom.